1.
This record from Alexandria describes a geometry-optimized CoS2NCl structure. The functional is PBE.

```
data_CoS2NCl
_cell_length_a 4.766
_cell_length_b 4.766
_cell_length_c 3.380
_cell_angle_alpha 90.00
_cell_angle_beta 90.00
_cell_angle_gamma 90.00
_symmetry_space_group_name_H-M 'P 4/m m m'
_symmetry_Int_Tables_number 123
_symmetry_space_group_name_Hall '-P 4 2'
loop_
_atom_site_label
_atom_site_type_symbol
_atom_site_fract_x
_atom_site_fract_y
_atom_site_fract_z
_atom_site_occupancy
Co1 Co 0.000 0.000 0.000 1
S1 S 0.000 0.500 0.000 1
N1 N 0.000 0.000 0.500 1
Cl1 Cl 0.500 0.500 0.500 1
```

Computed properties:
**Uncorrected formation energy**: 0.8021 eV per atom
**E above lowest polymorph**: 0.0000 eV per atom
**DFT total energy**: -21.52 eV for the cell shown


2.
This record from Alexandria describes a geometry-optimized UH2Rh4 structure. The functional is PBE.

```
data_UH2Rh4
_cell_length_a 5.030
_cell_length_b 5.583
_cell_length_c 7.415
_cell_angle_alpha 81.22
_cell_angle_beta 70.21
_cell_angle_gamma 63.23
_symmetry_space_group_name_H-M 'P 1'
_symmetry_Int_Tables_number 1
_symmetry_space_group_name_Hall 'P 1'
loop_
_atom_site_label
_atom_site_type_symbol
_atom_site_fract_x
_atom_site_fract_y
_atom_site_fract_z
_atom_site_occupancy
U1 U 0.000 0.000 0.000 1
U2 U 0.250 0.501 0.500 1
H1 H 0.465 0.768 0.274 1
H2 H 0.483 0.732 0.775 1
H3 H 0.508 0.232 0.725 1
H4 H 0.990 0.269 0.225 1
Rh1 Rh 0.142 0.409 0.911 1
Rh2 Rh 0.303 0.910 0.588 1
Rh3 Rh 0.419 0.099 0.202 1
Rh4 Rh 0.463 0.591 0.088 1
Rh5 Rh 0.720 0.901 0.798 1
Rh6 Rh 0.768 0.402 0.701 1
Rh7 Rh 0.801 0.091 0.411 1
Rh8 Rh 0.871 0.599 0.298 1
```

Computed properties:
**DFT total energy**: -98.67 eV for the cell shown


3.
This record from Alexandria describes a geometry-optimized LiCaPmGe structure. The functional is PBE.

```
data_LiCaPmGe
_cell_length_a 7.309
_cell_length_b 7.309
_cell_length_c 7.309
_cell_angle_alpha 90.00
_cell_angle_beta 90.00
_cell_angle_gamma 90.00
_symmetry_space_group_name_H-M 'F -4 3 m'
_symmetry_Int_Tables_number 216
_symmetry_space_group_name_Hall 'F -4 2 3'
loop_
_atom_site_label
_atom_site_type_symbol
_atom_site_fract_x
_atom_site_fract_y
_atom_site_fract_z
_atom_site_occupancy
Li1 Li 0.000 0.000 0.000 1
Ca1 Ca 0.250 0.250 0.250 1
Pm1 Pm 0.250 0.250 0.750 1
Ge1 Ge 0.000 0.000 0.500 1
```

Computed properties:
**Formation energy**: -0.3889 eV per atom
**DFT total energy**: -59.36 eV for the cell shown


4.
This record from Alexandria describes a geometry-optimized Zn2Cu2Si structure. The functional is PBE.

```
data_Zn2Cu2Si
_cell_length_a 6.210
_cell_length_b 6.210
_cell_length_c 3.681
_cell_angle_alpha 90.00
_cell_angle_beta 90.00
_cell_angle_gamma 90.00
_symmetry_space_group_name_H-M 'P 4/m b m'
_symmetry_Int_Tables_number 127
_symmetry_space_group_name_Hall '-P 4 2ab'
loop_
_atom_site_label
_atom_site_type_symbol
_atom_site_fract_x
_atom_site_fract_y
_atom_site_fract_z
_atom_site_occupancy
Zn1 Zn 0.154 0.346 0.000 1
Cu1 Cu 0.147 0.647 0.500 1
Si1 Si 0.000 0.000 0.500 1
```

Computed properties:
**Uncorrected formation energy**: 0.1093 eV per atom
**E above lowest polymorph**: 0.0000 eV per atom
**DFT total energy**: -31.23 eV for the cell shown


5.
This record from Alexandria describes a geometry-optimized La2ScCu2 structure. The functional is PBE.

```
data_La2ScCu2
_cell_length_a 7.970
_cell_length_b 7.970
_cell_length_c 3.891
_cell_angle_alpha 90.00
_cell_angle_beta 90.00
_cell_angle_gamma 90.00
_symmetry_space_group_name_H-M 'P 4/m b m'
_symmetry_Int_Tables_number 127
_symmetry_space_group_name_Hall '-P 4 2ab'
loop_
_atom_site_label
_atom_site_type_symbol
_atom_site_fract_x
_atom_site_fract_y
_atom_site_fract_z
_atom_site_occupancy
La1 La 0.180 0.320 0.000 1
Sc1 Sc 0.000 0.000 0.500 1
Cu1 Cu 0.118 0.618 0.500 1
```

Computed properties:
**E above lowest polymorph**: 0.0000 eV per atom
**Formation energy**: -0.1061 eV per atom
**DFT total energy**: -49.82 eV for the cell shown


6.
This record from Alexandria describes a geometry-optimized PrTmZnCo structure. The functional is PBE.

```
data_PrTmZnCo
_cell_length_a 6.999
_cell_length_b 6.999
_cell_length_c 6.999
_cell_angle_alpha 90.00
_cell_angle_beta 90.00
_cell_angle_gamma 90.00
_symmetry_space_group_name_H-M 'F -4 3 m'
_symmetry_Int_Tables_number 216
_symmetry_space_group_name_Hall 'F -4 2 3'
loop_
_atom_site_label
_atom_site_type_symbol
_atom_site_fract_x
_atom_site_fract_y
_atom_site_fract_z
_atom_site_occupancy
Pr1 Pr 0.000 0.000 0.000 1
Tm1 Tm 0.000 0.000 0.500 1
Zn1 Zn 0.250 0.250 0.750 1
Co1 Co 0.250 0.250 0.250 1
```

Computed properties:
**Formation energy**: -0.1576 eV per atom
**DFT total energy**: -73.04 eV for the cell shown


7.
This record from Alexandria describes a geometry-optimized CaGePb2 structure. The functional is PBE.

```
data_CaGePb2
_cell_length_a 8.597
_cell_length_b 8.597
_cell_length_c 6.449
_cell_angle_alpha 90.00
_cell_angle_beta 90.00
_cell_angle_gamma 90.00
_symmetry_space_group_name_H-M 'I -4 2 d'
_symmetry_Int_Tables_number 122
_symmetry_space_group_name_Hall 'I -4 2bw'
loop_
_atom_site_label
_atom_site_type_symbol
_atom_site_fract_x
_atom_site_fract_y
_atom_site_fract_z
_atom_site_occupancy
Ca1 Ca 0.000 0.000 0.000 1
Ge1 Ge 0.000 0.000 0.500 1
Pb1 Pb 0.201 0.750 0.625 1
```

Computed properties:
**Formation energy**: -0.1542 eV per atom
**DFT total energy**: -58.61 eV for the cell shown


8.
This record from Alexandria describes a geometry-optimized RbAsO3 structure. The functional is PBE.

```
data_RbAsO3
_cell_length_a 6.4806
_cell_length_b 6.4806
_cell_length_c 19.5581
_cell_angle_alpha 90.00
_cell_angle_beta 90.00
_cell_angle_gamma 120.00
_symmetry_space_group_name_H-M 'R 3 c'
_symmetry_Int_Tables_number 161
_symmetry_space_group_name_Hall 'R 3 -2"c'
loop_
_atom_site_label
_atom_site_type_symbol
_atom_site_fract_x
_atom_site_fract_y
_atom_site_fract_z
_atom_site_occupancy
Rb1 Rb 0.0000 0.0000 0.0000 1
As1 As 0.0000 0.0000 0.2508 1
O1 O 0.0036 0.2592 0.2510 1
```

Computed properties:
**Uncorrected formation energy**: -1.3026 eV per atom
**DFT total energy**: -162.03 eV for the cell shown


9.
This record from Alexandria describes a geometry-optimized NaTlF2 structure. The functional is PBE.

```
data_NaTlF2
_cell_length_a 5.713
_cell_length_b 5.713
_cell_length_c 10.796
_cell_angle_alpha 90.00
_cell_angle_beta 90.00
_cell_angle_gamma 90.00
_symmetry_space_group_name_H-M 'I -4 2 d'
_symmetry_Int_Tables_number 122
_symmetry_space_group_name_Hall 'I -4 2bw'
loop_
_atom_site_label
_atom_site_type_symbol
_atom_site_fract_x
_atom_site_fract_y
_atom_site_fract_z
_atom_site_occupancy
Na1 Na 0.000 0.000 0.000 1
Tl1 Tl 0.000 0.000 0.500 1
F1 F 0.190 0.250 0.125 1
```

Computed properties:
**Uncorrected formation energy**: -2.1663 eV per atom
**E above lowest polymorph**: 0.0264 eV per atom
**DFT total energy**: -64.37 eV for the cell shown


10.
This record from Alexandria describes a geometry-optimized Ni2P structure. The functional is PBE.

```
data_Ni2P
_cell_length_a 3.380
_cell_length_b 3.380
_cell_length_c 23.875
_cell_angle_alpha 90.00
_cell_angle_beta 90.00
_cell_angle_gamma 90.00
_symmetry_space_group_name_H-M 'I 41/a m d'
_symmetry_Int_Tables_number 141
loop_
_symmetry_equiv_pos_as_xyz
'x,y,z'
'-x,-y,-z'
'-y+1/4,x+3/4,z+1/4'
'y+1/4,-x+3/4,-z+1/4'
'-x+1/2,-y,z+1/2'
'x+1/2,y,-z+1/2'
'y+1/4,-x+1/4,z+3/4'
'-y+1/4,x+1/4,-z+3/4'
'x,-y,-z'
'-x,y,z'
'-y+1/4,-x+1/4,-z+3/4'
'y+1/4,x+1/4,z+3/4'
'-x+1/2,y,-z+1/2'
'x+1/2,-y,z+1/2'
'y+1/4,x+3/4,-z+1/4'
'-y+1/4,-x+3/4,z+1/4'
'x+1/2,y+1/2,z+1/2'
'-x+1/2,-y+1/2,-z+1/2'
'-y+3/4,x+1/4,z+3/4'
'y+3/4,-x+1/4,-z+3/4'
'-x,-y+1/2,z'
'x,y+1/2,-z'
'y+3/4,-x+3/4,z+1/4'
'-y+3/4,x+3/4,-z+1/4'
'x+1/2,-y+1/2,-z+1/2'
'-x+1/2,y+1/2,z+1/2'
'-y+3/4,-x+3/4,-z+1/4'
'y+3/4,x+3/4,z+1/4'
'-x,y+1/2,-z'
'x,-y+1/2,z'
'y+3/4,x+1/4,-z+3/4'
'-y+3/4,-x+1/4,z+3/4'
loop_
_atom_site_label
_atom_site_type_symbol
_atom_site_fract_x
_atom_site_fract_y
_atom_site_fract_z
_atom_site_occupancy
Ni1 Ni 0.000 0.250 0.117 1
Ni2 Ni 0.000 0.250 0.289 1
P1 P 0.000 0.250 0.805 1
```

Computed properties:
**Formation energy**: -0.2223 eV per atom
**DFT total energy**: -141.11 eV for the cell shown